[1]
Entry from the Alexandria database: a geometry-optimized HfIr2Ru2 structure (PBE-GGA).

Geometry as extended XYZ:
```
10
Lattice="7.5166 0.0000 0.0000 0.0000 7.5166 0.0000 0.0000 0.0000 2.8118" Properties=species:S:1:pos:R:3 pbc="T T T"
Ir 4.6873 0.9290 0.0000
Ir 2.8293 6.5876 0.0000
Ir 6.5876 4.6873 0.0000
Ir 0.9290 2.8293 0.0000
Ru 1.3152 5.0735 1.4059
Ru 5.0735 6.2014 1.4059
Ru 2.4431 1.3152 1.4059
Ru 6.2014 2.4431 1.4059
Hf 3.7583 3.7583 0.0000
Hf 0.0000 0.0000 0.0000
```

Output
Space group   P4/mbm
Formation enthalpy at 0 K   -146 meV/atom
Crystal system   tetragonal
Calculated total energy   -9.39 eV/atom
Excess energy over the best structure of this formula in the dataset   16 meV per atom


[2]
Entry from the Alexandria database: a geometry-optimized Dy2ErIr2 structure (PBE-GGA).

Geometry as extended XYZ:
```
10
Lattice="-3.9147 -2.5608 -0.9689 0.8139 -2.7080 3.8691 -5.6321 6.4524 5.7019" Properties=species:S:1:pos:R:3 pbc="T T T"
Ir -3.5655 1.8795 3.5500
Ir -5.1674 -0.6959 5.0522
Ir -5.4930 4.0880 5.5005
Ir -3.2399 -2.9044 3.1016
Dy -4.6062 -0.4514 2.1385
Dy -8.3588 3.8481 5.9366
Dy -0.3741 -2.6645 2.6655
Dy -4.1267 1.6350 6.4636
Er -2.2563 -0.5084 4.5718
Er -6.4766 1.6920 4.0303
```

Output
Space group   Pmmn
Formation enthalpy at 0 K   -781 meV/atom
Crystal system   orthorhombic
Calculated total energy   -7.08 eV/atom
Excess energy over the best structure of this formula in the dataset   0 meV per atom